Entry 1:
UMn2Ru | the Alexandria database | PBE-GGA | optimized geometry; energy of formation from the pure elements = 0.00 eV/atom
1.0
-1.866 3.079 -1.893
-1.710 -2.502 -2.384
-2.969 -0.298 2.442
U Mn Ru
1 2 1
Direct
0.500 0.000 0.000
0.000 0.000 0.500
0.000 0.500 0.000
0.500 0.500 0.500

Entry 2:
UMnVRu | the Alexandria database | PBE-GGA | optimized geometry; energy of formation from the pure elements = 0.11 eV/atom
1.0
4.410 0.000 0.000
2.205 3.819 0.000
2.205 1.273 3.601
Ru V Mn U
1 1 1 1
Direct
0.000 0.000 0.000
0.250 0.250 0.250
0.750 0.750 0.750
0.500 0.500 0.500

Entry 3:
MnV2Ru2 | the Alexandria database | PBE-GGA | optimized geometry; energy of formation from the pure elements = 0.04 eV/atom
1.0
-4.302 3.826 -4.149
-3.553 -5.889 -1.747
-1.781 0.413 2.228
V Mn Ru
4 2 4
Direct
0.159 0.659 0.500
0.341 0.159 0.500
0.659 0.841 0.500
0.841 0.341 0.500
0.500 0.500 0.000
0.000 0.000 0.000
0.642 0.142 0.000
0.358 0.858 0.000
0.142 0.358 0.000
0.858 0.642 0.000

Entry 4:
MnV2Ru8 | the Alexandria database | PBE-GGA | optimized geometry; energy of formation from the pure elements = 0.09 eV/atom
1.0
4.129 0.000 -1.187
-0.811 6.066 -2.822
-0.346 -0.633 6.573
Ru V Mn
8 2 1
Direct
0.313 0.039 0.627
0.138 0.184 0.276
0.687 0.961 0.373
0.936 0.278 0.871
0.862 0.816 0.724
0.599 0.468 0.197
0.064 0.722 0.129
0.401 0.532 0.803
0.769 0.380 0.537
0.231 0.620 0.463
0.500 0.000 0.000

Entry 5:
MnV2Ru3 | the Alexandria database | PBE-GGA | optimized geometry; energy of formation from the pure elements = -0.20 eV/atom
1.0
3.024 0.000 0.000
0.000 3.024 0.000
0.000 0.000 9.010
Ru Mn V
3 1 2
Direct
0.000 0.000 0.000
0.000 0.000 0.674
0.000 0.000 0.326
0.500 0.500 0.500
0.500 0.500 0.828
0.500 0.500 0.172

Entry 6:
MnVRu2 | the Alexandria database | PBE-GGA | optimized geometry; energy of formation from the pure elements = 0.02 eV/atom
1.0
-1.401 1.400 1.799
-2.654 -0.301 0.157
-0.310 -5.870 6.316
Mn V Ru
1 1 2
Direct
0.500 0.500 0.499
0.667 0.667 0.000
0.087 0.087 0.739
0.246 0.246 0.263

Entry 7:
MnVRu | the Alexandria database | PBE-GGA | optimized geometry; energy of formation from the pure elements = -0.18 eV/atom
1.0
-1.208 3.824 1.232
-4.069 0.821 0.604
0.437 -1.444 4.910
Ru Mn V
2 2 2
Direct
0.616 0.430 0.465
0.949 0.763 0.143
0.949 0.763 0.651
0.283 0.097 0.822
0.616 0.430 0.952
0.282 0.097 0.317

Entry 8:
Mn3V2Ru3 | the Alexandria database | PBE-GGA | optimized geometry; energy of formation from the pure elements = -0.12 eV/atom
1.0
0.058 -1.219 4.036
0.774 -4.029 0.974
7.001 -0.382 1.986
Mn Ru V
3 3 2
Direct
0.747 0.747 0.758
0.252 0.252 0.243
0.624 0.624 0.129
0.126 0.126 0.622
0.375 0.375 0.876
0.876 0.876 0.373
0.502 0.502 0.493
0.998 0.998 0.006